1.
Compound: ZrTlAsBr2
Source: the Alexandria database
Functional: PBE-GGA
Structure: relaxed

Summary:
Crystal system   tetragonal
ΔE to the lowest computed polymorph   0 meV/atom
Symmetry   P4/mmm

a b c (Å): 5.4601 5.4601 5.2490
angles (deg): 90.00 90.00 90.00
Last column: nearest neighbours and their distance in Å.
Element x y z (fractional)
As 0.0000 0.0000 0.5000  2 Zr 2.62
Tl 0.5000 0.5000 0.5000  8 Br 3.79, 4 As 3.86
Br 0.0000 0.5000 0.0000  2 Zr 2.73
Br 0.5000 0.0000 0.0000  2 Zr 2.73
Zr 0.0000 0.0000 0.0000  2 As 2.62, 4 Br 2.73


2.
Compound: TmAsBr
Source: the Alexandria database
Functional: PBE-GGA
Structure: relaxed

Summary:
Crystal system   trigonal
Symmetry   P-3m1

a b c (Å): 4.1247 4.1247 12.3140
angles (deg): 90.00 90.00 120.00
Last column: nearest neighbours and their distance in Å.
Element x y z (fractional)
Tm 0.6667 0.3333 0.1816  4 As 2.85-2.91, 3 Br 2.97
Tm 0.3333 0.6667 0.8184  4 As 2.85-2.91, 3 Br 2.97
Br 0.0000 0.0000 0.3251  3 Tm 2.97
Br 0.0000 0.0000 0.6749  3 Tm 2.97
As 0.6667 0.3333 0.9456  3 As 2.73, 4 Tm 2.85-2.91
As 0.3333 0.6667 0.0544  3 As 2.73, 4 Tm 2.85-2.91


3.
Compound: Tm2AsBr2
Source: the Alexandria database
Functional: PBE-GGA
Structure: relaxed

Summary:
Crystal system   trigonal
Symmetry   R-3m

a b c (Å): 4.0208 4.0208 10.8798
angles (deg): 79.35 79.35 60.00
Last column: nearest neighbours and their distance in Å.
Element x y z (fractional)
Tm 0.6182 0.6182 0.1453  3 As 2.79, 3 Br 2.92
Tm 0.3818 0.3818 0.8547  3 As 2.79, 3 Br 2.92
As 0.0000 0.0000 0.0000  6 Tm 2.79
Br 0.2293 0.2293 0.3120  3 Tm 2.92
Br 0.7707 0.7707 0.6880  3 Tm 2.92


4.
Compound: V2AsBr
Source: the Alexandria database
Functional: PBE-GGA
Structure: relaxed

Summary:
Crystal system   cubic
ΔE to the lowest computed polymorph   0 meV/atom
Symmetry   Fm-3m

a b c (Å): 4.4448 4.4448 4.4448
angles (deg): 60.00 60.00 60.00
Last column: nearest neighbours and their distance in Å.
Element x y z (fractional)
As 0.0000 0.0000 0.0000  8 V 2.72
Br 0.5000 0.5000 0.5000  8 V 2.72
V 0.2500 0.2500 0.2500  4 Br 2.72, 4 As 2.72
V 0.7500 0.7500 0.7500  4 Br 2.72, 4 As 2.72


5.
Compound: V2AsBr
Source: the Alexandria database
Functional: PBE-GGA
Structure: relaxed

Summary:
Crystal system   tetragonal
ΔE to the lowest computed polymorph   15 meV/atom
Symmetry   I-42d

a b c (Å): 5.7889 5.7889 7.2679
angles (deg): 66.53 66.53 90.00
Last column: nearest neighbours and their distance in Å.
Element x y z (fractional)
As 0.5000 0.5000 0.0000  4 V 2.45
As 0.2500 0.7500 0.5000  4 V 2.45
Br 0.0000 0.0000 0.0000  4 V 2.63
Br 0.7500 0.2500 0.5000  4 V 2.63
V 0.5974 0.1250 0.2500  2 As 2.45, 2 Br 2.63
V 0.1526 0.6250 0.2500  2 As 2.45, 2 Br 2.63
V 0.3750 0.4026 0.7500  2 As 2.45, 2 Br 2.63
V 0.8750 0.8474 0.7500  2 As 2.45, 2 Br 2.63


6.
Compound: VAs3Br
Source: the Alexandria database
Functional: PBE-GGA
Structure: relaxed

Summary:
Crystal system   cubic
Symmetry   Pm-3m

a b c (Å): 4.7662 4.7662 4.7662
angles (deg): 90.00 90.00 90.00
Last column: nearest neighbours and their distance in Å.
Element x y z (fractional)
As 0.0000 0.5000 0.0000  2 V 2.38
As 0.0000 0.0000 0.5000  2 V 2.38
As 0.5000 0.0000 0.0000  2 V 2.38
Br 0.5000 0.5000 0.5000  12 As 3.37
V 0.0000 0.0000 0.0000  6 As 2.38


7.
Compound: VAsBr3
Source: the Alexandria database
Functional: PBE-GGA
Structure: relaxed

Summary:
Crystal system   cubic
ΔE to the lowest computed polymorph   392 meV/atom
Symmetry   Pm-3m

a b c (Å): 5.3429 5.3429 5.3429
angles (deg): 90.00 90.00 90.00
Last column: nearest neighbours and their distance in Å.
Element x y z (fractional)
As 0.0000 0.0000 0.0000  6 Br 2.67
Br 0.0000 0.5000 0.0000  2 As 2.67
Br 0.0000 0.0000 0.5000  2 As 2.67
Br 0.5000 0.0000 0.0000  2 As 2.67
V 0.5000 0.5000 0.5000  12 Br 3.78


8.
Compound: VAsBr3
Source: the Alexandria database
Functional: PBE-GGA
Structure: relaxed

Summary:
Crystal system   cubic
ΔE to the lowest computed polymorph   0 meV/atom
Symmetry   Pm-3m

a b c (Å): 5.1730 5.1730 5.1730
angles (deg): 90.00 90.00 90.00
Last column: nearest neighbours and their distance in Å.
Element x y z (fractional)
As 0.5000 0.5000 0.5000  12 Br 3.66
Br 0.0000 0.5000 0.0000  2 V 2.59
Br 0.0000 0.0000 0.5000  2 V 2.59
Br 0.5000 0.0000 0.0000  2 V 2.59
V 0.0000 0.0000 0.0000  6 Br 2.59


9.
Compound: YVAsBr2
Source: the Alexandria database
Functional: PBE-GGA
Structure: relaxed

Summary:
Crystal system   tetragonal
ΔE to the lowest computed polymorph   283 meV/atom
Symmetry   P4/mmm

a b c (Å): 5.4182 5.4182 5.7299
angles (deg): 90.00 90.00 90.00
Last column: nearest neighbours and their distance in Å.
Element x y z (fractional)
Y 0.0000 0.0000 0.0000  4 Br 2.71, 2 As 2.86
As 0.0000 0.0000 0.5000  2 Y 2.86
Br 0.0000 0.5000 0.0000  2 Y 2.71
Br 0.5000 0.0000 0.0000  2 Y 2.71
V 0.5000 0.5000 0.5000  4 As 3.83, 8 Br 3.94


10.
Compound: YVAsBr2
Source: the Alexandria database
Functional: PBE-GGA
Structure: relaxed

Summary:
Crystal system   tetragonal
ΔE to the lowest computed polymorph   0 meV/atom
Symmetry   P4/mmm

a b c (Å): 4.9034 4.9034 5.2564
angles (deg): 90.00 90.00 90.00
Last column: nearest neighbours and their distance in Å.
Element x y z (fractional)
Y 0.5000 0.5000 0.5000  4 As 3.47, 8 Br 3.59
As 0.0000 0.0000 0.5000  2 V 2.63
Br 0.0000 0.5000 0.0000  2 V 2.45
Br 0.5000 0.0000 0.0000  2 V 2.45
V 0.0000 0.0000 0.0000  4 Br 2.45, 2 As 2.63


11.
Compound: VZnAsBr2
Source: the Alexandria database
Functional: PBE-GGA
Structure: relaxed

Summary:
Crystal system   tetragonal
ΔE to the lowest computed polymorph   448 meV/atom
Symmetry   P4/mmm

a b c (Å): 5.1348 5.1348 4.9234
angles (deg): 90.00 90.00 90.00
Last column: nearest neighbours and their distance in Å.
Element x y z (fractional)
As 0.0000 0.0000 0.5000  2 Zn 2.46
Zn 0.0000 0.0000 0.0000  2 As 2.46, 4 Br 2.57
Br 0.0000 0.5000 0.0000  2 Zn 2.57
Br 0.5000 0.0000 0.0000  2 Zn 2.57
V 0.5000 0.5000 0.5000  8 Br 3.56, 4 As 3.63


12.
Compound: VZnAs2Br
Source: the Alexandria database
Functional: PBE-GGA
Structure: relaxed

Summary:
Crystal system   tetragonal
ΔE to the lowest computed polymorph   544 meV/atom
Symmetry   P4/mmm

a b c (Å): 4.7202 4.7202 5.4085
angles (deg): 90.00 90.00 90.00
Last column: nearest neighbours and their distance in Å.
Element x y z (fractional)
As 0.0000 0.5000 0.0000  2 Zn 2.36
As 0.5000 0.0000 0.0000  2 Zn 2.36
Zn 0.0000 0.0000 0.0000  4 As 2.36
Br 0.0000 0.0000 0.5000  2 Zn 2.70
V 0.5000 0.5000 0.5000  4 Br 3.34, 8 As 3.59


13.
Compound: VZnAs2Br
Source: the Alexandria database
Functional: PBE-GGA
Structure: relaxed

Summary:
Crystal system   tetragonal
ΔE to the lowest computed polymorph   0 meV/atom
Symmetry   P4/mmm

a b c (Å): 4.6904 4.6904 5.3873
angles (deg): 90.00 90.00 90.00
Last column: nearest neighbours and their distance in Å.
Element x y z (fractional)
As 0.0000 0.5000 0.0000  2 V 2.35
As 0.5000 0.0000 0.0000  2 V 2.35
Zn 0.5000 0.5000 0.5000  4 Br 3.32, 8 As 3.57
Br 0.0000 0.0000 0.5000  2 V 2.69
V 0.0000 0.0000 0.0000  4 As 2.35


14.
Compound: VZnAsBr2
Source: the Alexandria database
Functional: PBE-GGA
Structure: relaxed

Summary:
Crystal system   tetragonal
ΔE to the lowest computed polymorph   0 meV/atom
Symmetry   P4/mmm

a b c (Å): 5.0193 5.0193 4.8850
angles (deg): 90.00 90.00 90.00
Last column: nearest neighbours and their distance in Å.
Element x y z (fractional)
As 0.0000 0.0000 0.5000  2 V 2.44
Zn 0.5000 0.5000 0.5000  8 Br 3.50, 4 As 3.55
Br 0.0000 0.5000 0.0000  2 V 2.51
Br 0.5000 0.0000 0.0000  2 V 2.51
V 0.0000 0.0000 0.0000  2 As 2.44, 4 Br 2.51


Raw formation energy values, unit kcal/mol of atoms, following the record order: -14.4, -25.1, -38.2, 3.7, 4.1, 2.7, 10.0, 1.0, -1.9, -8.4, 12.6, 17.3, 4.7, 2.3.